Entry 1:
GdPaRuAu | PBE-GGA | optimized geometry

The space group is F-43m (No. 216) and the conventional cell measures 7.055, 7.055 and 7.055 Å, with angles of 90.00, 90.00 and 90.00 degrees. The distinct sites, in fractional coordinates, are Gd at (0.000, 0.000, 0.000), Pa at (0.000, 0.000, 0.500), Ru at (0.250, 0.250, 0.250) and Au at (0.250, 0.250, 0.750).


Entry 2:
GdPaSbAu | PBE-GGA | optimized geometry

The space group is F-43m (No. 216) and the conventional cell measures 7.430, 7.430 and 7.430 Å, with angles of 90.00, 90.00 and 90.00 degrees. The distinct sites, in fractional coordinates, are Gd at (0.000, 0.000, 0.000), Pa at (0.000, 0.000, 0.500), Sb at (0.250, 0.250, 0.250) and Au at (0.250, 0.250, 0.750).


Entry 3:
GdPaSnAu | PBE-GGA | optimized geometry

The space group is F-43m (No. 216) and the conventional cell measures 7.432, 7.432 and 7.432 Å, with angles of 90.00, 90.00 and 90.00 degrees. The distinct sites, in fractional coordinates, are Gd at (0.000, 0.000, 0.000), Pa at (0.000, 0.000, 0.500), Sn at (0.250, 0.250, 0.750) and Au at (0.250, 0.250, 0.250).


Number 1: magnetic moment 7.50 μB/f.u., DOS at the Fermi energy 1.51 states/eV/atom, final energy -0.6887 Ry/atom. Number 2: magnetic moment 9.94 μB/f.u., DOS at the Fermi energy 2.25 states/eV/atom, final energy -0.6048 Ry/atom. Number 3: magnetic moment 9.63 μB/f.u., DOS at the Fermi energy 2.27 states/eV/atom, final energy -0.5938 Ry/atom.